Material: NaCu3S3
Method: DFT, PBE
State: relaxed

The formation energy (no corrections) comes out at -2.543 eV/f.u. The energy above the most stable polymorph in this dataset comes out at 0.039 eV per atom.

The structure belongs to space group Pm-3n (No. 223); the cell edges are 6.4560, 6.4560 and 6.4560 Å and the angles 90.00°, 90.00° and 90.00°. The inequivalent atoms are Na at (0.0000, 0.0000, 0.0000), Cu at (0.0000, 0.2500, 0.5000) and S at (0.0000, 0.5000, 0.2500).

***

Material: Tl2HgHSe2
Method: DFT, PBE
State: relaxed

The structure belongs to space group Ibam (No. 72); the cell edges are 9.0461, 11.2656 and 6.1527 Å and the angles 90.00°, 90.00° and 90.00°. The inequivalent atoms are Tl at (0.2075, 0.1566, 0.0000), Hg at (0.0000, 0.5000, 0.2500), H at (0.0000, 0.0000, 0.2500) and Se at (0.1218, 0.1049, 0.5000).

***

Material: Cs2KRuO4
Method: DFT, PBE
State: relaxed

The formation energy (no corrections) comes out at -10.093 eV/f.u.

The structure belongs to space group I-4 (No. 82); the cell edges are 6.8016, 6.8016 and 8.1418 Å and the angles 90.00°, 90.00° and 90.00°. The inequivalent atoms are Cs at (0.0000, 0.0000, 0.0000), Cs at (0.0000, 0.5000, 0.2500), K at (0.0000, 0.0000, 0.5000), Ru at (0.0000, 0.5000, 0.7500) and O at (0.1513, 0.6910, 0.6484).

***

Material: YRe2
Method: DFT, PBE
State: relaxed

The calculation puts the formation enthalpy at 0 K at 1.37 eV per atom.

The structure belongs to space group I4/mcm (No. 140); the cell edges are 6.7254, 6.7254 and 5.4626 Å and the angles 90.00°, 90.00° and 90.00°. The inequivalent atoms are Y at (0.0000, 0.0000, 0.2500) and Re at (0.1203, 0.3797, 0.0000).

***

Material: Dy4Tm2In
Method: DFT, PBE
State: relaxed

The calculation puts the formation enthalpy at 0 K at -0.02 eV per atom. The energy above the most stable polymorph in this dataset comes out at 0.013 eV per atom.

The structure belongs to space group P2_1/m (No. 11); the cell edges are 5.5790, 6.7203 and 11.5949 Å and the angles 90.00°, 103.17° and 90.00°. The inequivalent atoms are Dy at (0.1060, 0.2500, 0.1366), Dy at (0.2309, 0.7500, 0.4202), Dy at (0.3390, 0.5087, 0.7087), Tm at (0.2040, 0.2500, 0.4320), Tm at (0.4624, 0.7500, 0.0214) and In at (0.0293, 0.7500, 0.1485).

***

Material: Cs2TlPt
Method: DFT, PBE
State: relaxed

The calculation puts the formation enthalpy at 0 K at 0.27 eV per atom. The energy above the most stable polymorph in this dataset comes out at 0.384 eV per atom.

The structure belongs to space group Fm-3m (No. 225); the cell edges are 8.5301, 8.5301 and 8.5301 Å and the angles 90.00°, 90.00° and 90.00°. The inequivalent atoms are Cs at (0.2500, 0.2500, 0.2500), Tl at (0.0000, 0.0000, 0.0000) and Pt at (0.0000, 0.0000, 0.5000).

***

Material: SmGdGaCo
Method: DFT, PBE
State: relaxed

The calculation puts the formation enthalpy at 0 K at -0.26 eV per atom.

The structure belongs to space group F-43m (No. 216); the cell edges are 7.0708, 7.0708 and 7.0708 Å and the angles 90.00°, 90.00° and 90.00°. The inequivalent atoms are Sm at (0.0000, 0.0000, 0.0000), Gd at (0.0000, 0.0000, 0.5000), Ga at (0.2500, 0.2500, 0.7500) and Co at (0.2500, 0.2500, 0.2500).

***

Material: NaRu
Method: DFT, PBE
State: relaxed

The calculation puts the formation enthalpy at 0 K at 2.63 eV per atom.

The structure belongs to space group Pm-3n (No. 223); the cell edges are 8.0940, 8.0940 and 8.0940 Å and the angles 90.00°, 90.00° and 90.00°. The inequivalent atoms are Na at (0.0000, 0.2500, 0.5000) and Ru at (0.0000, 0.5000, 0.2500).

***

Material: MnTl4Se4
Method: DFT, PBE
State: relaxed

The formation energy (no corrections) comes out at -2.987 eV/f.u.

The structure belongs to space group I-42m (No. 121); the cell edges are 7.6667, 7.6667 and 10.8321 Å and the angles 90.00°, 90.00° and 90.00°. The inequivalent atoms are Mn at (0.0000, 0.0000, 0.0000), Tl at (0.0000, 0.0000, 0.3296), Tl at (0.0000, 0.5000, 0.0000) and Se at (0.1836, 0.1836, 0.1181).

***

Material: Na2SrLu
Method: DFT, PBE
State: relaxed

The calculation puts the formation enthalpy at 0 K at 0.43 eV per atom.

The structure belongs to space group R-3m (No. 166, hexagonal axes); the cell edges are 3.6262, 3.6262 and 36.5535 Å and the angles 90.00°, 90.00° and 120.00°. The inequivalent atoms are Na at (0.0000, 0.0000, 0.0854), Sr at (0.0000, 0.0000, 0.5000) and Lu at (0.0000, 0.0000, 0.0000).

***

Material: Er2PdS
Method: DFT, PBE
State: relaxed

The formation energy (no corrections) comes out at -5.763 eV/f.u. The energy above the most stable polymorph in this dataset comes out at 0.000 eV per atom.

The structure belongs to space group Cmcm (No. 63); the cell edges are 3.8069, 22.5861 and 3.9868 Å and the angles 90.00°, 90.00° and 90.00°. The inequivalent atoms are Er at (0.0000, 0.0707, 0.2500), Er at (0.0000, 0.3131, 0.2500), Pd at (0.0000, 0.4540, 0.2500) and S at (0.0000, 0.1930, 0.2500).

***

Material: TbCeSn
Method: DFT, PBE
State: relaxed

The calculation puts the formation enthalpy at 0 K at -0.39 eV per atom. The energy above the most stable polymorph in this dataset comes out at 0.196 eV per atom.

The structure belongs to space group I4mm (No. 107); the cell edges are 4.1155, 4.1155 and 9.9490 Å and the angles 90.00°, 90.00° and 90.00°. The inequivalent atoms are Tb at (0.0000, 0.0000, 0.0000), Ce at (0.0000, 0.0000, 0.6940) and Sn at (0.0000, 0.0000, 0.3519).

***

Material: SeSI2N
Method: DFT, PBE
State: relaxed

The formation energy (no corrections) comes out at 4.677 eV/f.u. The energy above the most stable polymorph in this dataset comes out at 0.000 eV per atom.

The structure belongs to space group P4/mmm (No. 123); the cell edges are 7.1095, 7.1095 and 3.2074 Å and the angles 90.00°, 90.00° and 90.00°. The inequivalent atoms are Se at (0.0000, 0.0000, 0.0000), S at (0.5000, 0.5000, 0.5000), I at (0.0000, 0.5000, 0.5000) and N at (0.5000, 0.5000, 0.0000).

***

Material: TiAl2Ag
Method: DFT, PBE
State: relaxed

The calculation puts the formation enthalpy at 0 K at -0.14 eV per atom. The energy above the most stable polymorph in this dataset comes out at 0.145 eV per atom.

The structure belongs to space group R-3m (No. 166, hexagonal axes); the cell edges are 2.9039, 2.9039 and 27.5530 Å and the angles 90.00°, 90.00° and 120.00°. The inequivalent atoms are Ti at (0.0000, 0.0000, 0.0000), Al at (0.0000, 0.0000, 0.2511) and Ag at (0.0000, 0.0000, 0.5000).

***

Material: NdSmAgIr
Method: DFT, PBE
State: relaxed

The calculation puts the formation enthalpy at 0 K at -0.46 eV per atom.

The structure belongs to space group F-43m (No. 216); the cell edges are 7.2249, 7.2249 and 7.2249 Å and the angles 90.00°, 90.00° and 90.00°. The inequivalent atoms are Nd at (0.0000, 0.0000, 0.0000), Sm at (0.0000, 0.0000, 0.5000), Ag at (0.2500, 0.2500, 0.2500) and Ir at (0.2500, 0.2500, 0.7500).

***

Material: Dy2ScBi3
Method: DFT, PBE
State: relaxed

The calculation puts the formation enthalpy at 0 K at -0.79 eV per atom. The energy above the most stable polymorph in this dataset comes out at 0.000 eV per atom.

The structure belongs to space group C2/m (No. 12); the cell edges are 7.6395, 13.2353 and 7.6346 Å and the angles 90.00°, 109.53° and 90.00°. The inequivalent atoms are Dy at (0.0000, 0.0000, 0.0000), Dy at (0.0000, 0.1630, 0.5000), Dy at (0.0000, 0.5000, 0.5000), Sc at (0.0000, 0.3320, 0.0000), Bi at (0.2373, 0.5000, 0.2376) and Bi at (0.2485, 0.3294, 0.7582).

***

Material: AlHg2H
Method: DFT, PBE
State: relaxed

The energy above the most stable polymorph in this dataset comes out at 0.122 eV per atom.

The structure belongs to space group Fm-3m (No. 225); the cell edges are 6.6487, 6.6487 and 6.6487 Å and the angles 90.00°, 90.00° and 90.00°. The inequivalent atoms are Al at (0.0000, 0.0000, 0.0000), Hg at (0.2500, 0.2500, 0.2500) and H at (0.0000, 0.0000, 0.5000).

***

Material: Li2ZnTc
Method: DFT, PBE
State: relaxed

The calculation puts the formation enthalpy at 0 K at 0.07 eV per atom.

The structure belongs to space group P4/mmm (No. 123); the cell edges are 2.5259, 2.5259 and 8.9790 Å and the angles 90.00°, 90.00° and 90.00°. The inequivalent atoms are Li at (0.0000, 0.0000, 0.2477), Zn at (0.5000, 0.5000, 0.5000) and Tc at (0.5000, 0.5000, 0.0000).

***

Material: KLiMn2
Method: DFT, PBE
State: relaxed

The calculation puts the formation enthalpy at 0 K at 1.22 eV per atom. The energy above the most stable polymorph in this dataset comes out at 0.563 eV per atom.

The structure belongs to space group P4/mmm (No. 123); the cell edges are 2.4470, 2.4470 and 10.2382 Å and the angles 90.00°, 90.00° and 90.00°. The inequivalent atoms are K at (0.0000, 0.0000, 0.0000), Li at (0.0000, 0.0000, 0.5000) and Mn at (0.5000, 0.5000, 0.2869).

***

Material: RhBr7
Method: DFT, PBE
State: relaxed

The formation energy (no corrections) comes out at 6.488 eV/f.u.

The structure belongs to space group Fm-3m (No. 225); the cell edges are 9.2860, 9.2860 and 9.2860 Å and the angles 90.00°, 90.00° and 90.00°. The inequivalent atoms are Rh at (0.0000, 0.0000, 0.0000), Br at (0.0000, 0.0000, 0.5000) and Br at (0.0000, 0.2500, 0.2500).

***

Electronic total energy across the listed records, respectively: -57.07; -59.34; -84.01; -108.97; -60.51; -36.20; -119.86; -31.98; -71.12; -21.31; -96.83; -31.48; -14.36; -56.37; -92.22; -127.56; -22.43; -15.21; -16.45; -50.29 eV per cell.